# 1
This record from Alexandria via LeMat-Bulk describes a relaxed Pu2InCuO8 crystal. The functional is PBE-GGA.

The structure in CIF format:
```
data_Pu2InCuO8
_cell_length_a 6.736
_cell_length_b 6.816
_cell_length_c 6.909
_cell_angle_alpha 90.00
_cell_angle_beta 90.00
_cell_angle_gamma 90.00
_symmetry_space_group_name_H-M 'C m m m'
_symmetry_Int_Tables_number 65
_symmetry_space_group_name_Hall '-C 2 2'
loop_
_atom_site_label
_atom_site_type_symbol
_atom_site_fract_x
_atom_site_fract_y
_atom_site_fract_z
Pu1 Pu 0.000 0.000 0.245
In1 In 0.000 0.500 0.500
Cu1 Cu 0.000 0.500 0.000
O1 O 0.000 0.190 0.500
O2 O 0.000 0.195 0.000
O3 O 0.205 0.500 0.247
```

Calculated volume (Å³ per cell): 317.24
Formation energy from raw total energies (meV/atom): -2027
Magnetization (μB/atom): 0.33
Density of states at the Fermi level (states/eV per atom): 0.387

# 2
This record from Alexandria via LeMat-Bulk describes a relaxed TlCuSe2 crystal. The functional is PBE-GGA.

The structure in CIF format:
```
data_TlCuSe2
_cell_length_a 3.8573
_cell_length_b 3.8573
_cell_length_c 20.5988
_cell_angle_alpha 90.00
_cell_angle_beta 90.00
_cell_angle_gamma 120.00
_symmetry_space_group_name_H-M 'R -3 m'
_symmetry_Int_Tables_number 166
_symmetry_space_group_name_Hall '-R 3 2"'
loop_
_atom_site_label
_atom_site_type_symbol
_atom_site_fract_x
_atom_site_fract_y
_atom_site_fract_z
Tl1 Tl 0.0000 0.0000 0.0000
Cu1 Cu 0.0000 0.0000 0.5000
Se1 Se 0.0000 0.0000 0.2303
```

Calculated volume (Å³ per cell): 265.43
Formation energy from raw total energies (meV/atom): -141
Magnetization (μB/atom): 0.00
Density of states at the Fermi level (states/eV per atom): 0.675

# 3
This record from Alexandria via LeMat-Bulk describes a relaxed Na6Tl12Hg crystal. The functional is PBE-GGA.

The structure in CIF format:
```
data_Na6Tl12Hg
_cell_length_a 11.7394
_cell_length_b 11.7394
_cell_length_c 13.9494
_cell_angle_alpha 90.00
_cell_angle_beta 90.00
_cell_angle_gamma 120.00
_symmetry_space_group_name_H-M 'R -3'
_symmetry_Int_Tables_number 148
_symmetry_space_group_name_Hall '-R 3'
loop_
_atom_site_label
_atom_site_type_symbol
_atom_site_fract_x
_atom_site_fract_y
_atom_site_fract_z
Na1 Na 0.0292 0.5940 0.2096
Tl1 Tl 0.0386 0.8542 0.3118
Tl2 Tl 0.0605 0.2029 0.9085
Hg1 Hg 0.0000 0.0000 0.5000
```

Calculated volume (Å³ per cell): 1664.85
Formation enthalpy at 0 K (eV per atom): -0.07
Magnetization (μB/atom): 0.00
Density of states at the Fermi level (states/eV per atom): 0.406

# 4
This record from Alexandria via LeMat-Bulk describes a relaxed GaReAgPd2 crystal. The functional is PBE-GGA.

The structure in CIF format:
```
data_GaReAgPd2
_cell_length_a 4.944
_cell_length_b 4.944
_cell_length_c 4.944
_cell_angle_alpha 90.00
_cell_angle_beta 90.00
_cell_angle_gamma 90.00
_symmetry_space_group_name_H-M 'P 4/m m m'
_symmetry_Int_Tables_number 123
_symmetry_space_group_name_Hall '-P 4 2'
loop_
_atom_site_label
_atom_site_type_symbol
_atom_site_fract_x
_atom_site_fract_y
_atom_site_fract_z
Ga1 Ga 0.000 0.000 0.000
Re1 Re 0.500 0.500 0.000
Ag1 Ag 0.500 0.500 0.500
Pd1 Pd 0.000 0.500 0.500
```

Calculated volume (Å³ per cell): 120.82
Formation enthalpy at 0 K (eV per atom): 1.70
Magnetization (μB/atom): 0.74
Density of states at the Fermi level (states/eV per atom): 1.042

# 5
This record from Alexandria via LeMat-Bulk describes a relaxed Si2PIr crystal. The functional is PBE-GGA.

The structure in CIF format:
```
data_Si2PIr
_cell_length_a 4.959
_cell_length_b 6.927
_cell_length_c 3.985
_cell_angle_alpha 90.00
_cell_angle_beta 118.03
_cell_angle_gamma 90.00
_symmetry_space_group_name_H-M 'C 1 2/m 1'
_symmetry_Int_Tables_number 12
_symmetry_space_group_name_Hall '-C 2y'
loop_
_atom_site_label
_atom_site_type_symbol
_atom_site_fract_x
_atom_site_fract_y
_atom_site_fract_z
Si1 Si 0.250 0.250 0.000
P1 P 0.000 0.000 0.500
Ir1 Ir 0.000 0.500 0.500
```

Calculated volume (Å³ per cell): 120.83
Formation energy from raw total energies (meV/atom): 95
Magnetization (μB/atom): 0.00
Density of states at the Fermi level (states/eV per atom): 0.628

# 6
This record from Alexandria via LeMat-Bulk describes a relaxed TiNb2CoH crystal. The functional is PBE-GGA.

The structure in CIF format:
```
data_TiNb2CoH
_cell_length_a 4.277
_cell_length_b 4.277
_cell_length_c 3.607
_cell_angle_alpha 90.00
_cell_angle_beta 90.00
_cell_angle_gamma 90.00
_symmetry_space_group_name_H-M 'P 4/m m m'
_symmetry_Int_Tables_number 123
_symmetry_space_group_name_Hall '-P 4 2'
loop_
_atom_site_label
_atom_site_type_symbol
_atom_site_fract_x
_atom_site_fract_y
_atom_site_fract_z
Ti1 Ti 0.000 0.000 0.000
Nb1 Nb 0.000 0.500 0.500
Co1 Co 0.500 0.500 0.000
H1 H 0.000 0.000 0.500
```

Calculated volume (Å³ per cell): 65.98
Magnetization (μB/atom): 0.14
Calculated total energy (eV per atom): -7.710
Density of states at the Fermi level (states/eV per atom): 1.194